Entry from Alexandria via LeMat-Bulk: a PBEsol-optimized structure of TaNiPb2 (meta-GGA SCAN).

Calculated values
**Excess energy over the best structure of this formula in the dataset**: 169 meV/atom
**Energy of formation**: 0.62 eV/atom
**Density**: 14.1 Mg/m³

Cell: 3.9927 3.9927 9.6826 Å, 90.00 90.00 90.00°
Closest atoms and distances in Å follow each position.
Positions (direct):
Ta 0.0000 0.0000 0.0000  8 Pb 2.82-3.14, 4 Ni 3.14
Ta 0.5000 0.5000 0.5000  8 Pb 2.82-3.14, 4 Ni 3.14
Ni 0.0000 0.5000 0.2500  8 Pb 2.82-3.14, 4 Ta 3.14
Ni 0.5000 0.0000 0.7500  8 Pb 2.82-3.14, 4 Ta 3.14
Pb 0.0000 0.0000 0.5000  4 Ta 2.82, 4 Pb 3.14, 4 Ni 3.14
Pb 0.0000 0.5000 0.7500  4 Ni 2.82, 4 Ta 3.14, 4 Pb 3.14
Pb 0.5000 0.0000 0.2500  4 Ni 2.82, 4 Ta 3.14, 4 Pb 3.14
Pb 0.5000 0.5000 0.0000  4 Ta 2.82, 4 Pb 3.14, 4 Ni 3.14